# 1
ZrAu | Alexandria via LeMat-Bulk | PBEsol | optimized geometry; energy of formation = -0.27 eV/atom; space-group type = No. 227; electronic total energy = -6.774 eV/atom
1.0
4.730 0.000 0.000
2.365 4.097 0.000
2.365 1.366 3.862
Au Zr
2 2
direct
0.000 0.000 0.000
0.250 0.250 0.250
0.500 0.500 0.500
0.750 0.750 0.750

***

# 2
Zr2Au | Alexandria via LeMat-Bulk | PBEsol | optimized geometry; energy of formation = -0.37 eV/atom; space-group type = No. 12; electronic total energy = -7.737 eV/atom
1.0
3.325 0.000 0.000
-1.662 6.002 0.003
0.000 -1.631 6.086
Zr Au
4 2
direct
0.324 0.648 0.384
0.676 0.352 0.616
0.983 0.965 0.745
0.017 0.035 0.255
0.336 0.672 0.928
0.664 0.328 0.072

***

# 3
Zr2Au | Alexandria via LeMat-Bulk | PBEsol | optimized geometry; energy of formation = -0.22 eV/atom; space-group type = No. 164; electronic total energy = -7.583 eV/atom
1.0
3.254 0.000 0.000
-1.627 2.818 0.000
0.000 0.000 6.862
Au Zr
1 2
direct
0.000 0.000 0.000
0.333 0.667 0.325
0.667 0.333 0.675

***

# 4
Zr2Au | Alexandria via LeMat-Bulk | PBEsol | optimized geometry; energy of formation = -0.02 eV/atom; space-group type = No. 191; electronic total energy = -7.384 eV/atom
1.0
2.823 0.000 0.000
0.000 4.861 0.000
0.000 -2.430 4.210
Zr Au
2 1
direct
0.000 0.667 0.333
0.000 0.333 0.667
0.500 0.000 0.000

***

# 5
Zr5Au4 | Alexandria via LeMat-Bulk | PBEsol | optimized geometry; energy of formation = -0.47 eV/atom; space-group type = No. 193; electronic total energy = -7.266 eV/atom
1.0
-0.220 -5.034 2.124
-1.205 -3.290 -7.923
8.026 0.964 3.116
Zr Au
10 8
direct
0.250 0.717 0.717
0.250 0.000 0.283
0.750 0.283 0.283
0.000 0.667 0.333
0.000 0.333 0.667
0.750 0.717 0.000
0.500 0.333 0.667
0.250 0.283 0.000
0.500 0.667 0.333
0.750 0.000 0.717
0.250 0.607 0.000
0.250 0.000 0.607
0.750 0.000 0.393
0.250 0.393 0.393
0.750 0.607 0.607
0.500 0.000 0.000
0.000 0.000 0.000
0.750 0.393 0.000

***

# 6
BaBe2B2O6 | Alexandria via LeMat-Bulk | PBEsol | optimized geometry; E_form (uncorrected) = -2.748 eV/atom; space-group type = No. 70; electronic total energy = -7.809 eV/atom
1.0
-4.091 4.527 -1.475
-6.134 -1.785 -1.822
-3.974 2.546 5.479
O B Ba Be
12 4 2 4
direct
0.348 0.304 0.500
0.179 0.548 0.178
0.844 0.048 0.678
0.598 0.804 0.000
0.642 0.452 0.178
0.906 0.452 0.822
0.272 0.548 0.822
0.402 0.196 0.000
0.108 0.048 0.322
0.152 0.696 0.500
0.478 0.952 0.678
0.571 0.952 0.322
0.034 0.931 0.500
0.284 0.431 0.000
0.466 0.069 0.500
0.716 0.569 0.000
0.750 0.500 0.500
0.000 0.000 0.000
0.408 0.000 0.184
0.158 0.500 0.684
0.342 0.500 0.316
0.592 0.000 0.816

***

# 7
BaBeB2Se | Alexandria via LeMat-Bulk | PBEsol | optimized geometry; E_form (uncorrected) = 0.677 eV/atom; space-group type = No. 123; electronic total energy = -4.129 eV/atom
1.0
4.250 0.000 0.000
0.000 4.250 0.000
0.000 0.000 4.836
B Be Se Ba
2 1 1 1
direct
0.500 0.000 0.000
0.000 0.500 0.000
0.000 0.000 0.000
0.000 0.000 0.500
0.500 0.500 0.500

***

# 8
Ba2BiB | Alexandria via LeMat-Bulk | PBEsol | optimized geometry; energy of formation = 0.28 eV/atom; space-group type = No. 225; electronic total energy = -3.624 eV/atom
1.0
5.708 0.000 0.000
2.854 4.943 0.000
2.854 1.648 4.660
Ba Bi B
2 1 1
direct
0.250 0.250 0.250
0.750 0.750 0.750
0.500 0.500 0.500
0.000 0.000 0.000

***

Among the records above, which one has the highest electronic total energy?
Ba2BiB